Record 1
A plane-wave DFT calculation with GGA-PBE was carried out for a relaxed structure of Sc2GaAgH.

Its final energy is -4.76 eV per atom.

It has space group P4/mmm (No. 123), with a = 4.445 Å, b = 4.445 Å, c = 4.033 Å, α = 90.00°, β = 90.00° and γ = 90.00°. Symmetry generates all atoms from Sc at (0.000, 0.500, 0.000), Ga at (0.000, 0.000, 0.500), Ag at (0.500, 0.500, 0.500) and H at (0.500, 0.500, 0.000).


Record 2
A plane-wave DFT calculation with GGA-PBE was carried out for a relaxed structure of ScGaAgH2.

Its final energy is -3.73 eV per atom.

It has space group P4/mmm (No. 123), with a = 3.761 Å, b = 3.761 Å, c = 5.847 Å, α = 90.00°, β = 90.00° and γ = 90.00°. Symmetry generates all atoms from Sc at (0.000, 0.000, 0.000), Ga at (0.000, 0.000, 0.500), Ag at (0.500, 0.500, 0.500) and H at (0.000, 0.500, 0.000).


Record 3
A plane-wave DFT calculation with GGA-PBE was carried out for a relaxed structure of TiGaAgH2.

Its final energy is -3.62 eV per atom.

It has space group P4/mmm (No. 123), with a = 3.638 Å, b = 3.638 Å, c = 5.275 Å, α = 90.00°, β = 90.00° and γ = 90.00°. Symmetry generates all atoms from Ti at (0.000, 0.000, 0.000), Ga at (0.500, 0.500, 0.000), Ag at (0.500, 0.500, 0.500) and H at (0.000, 0.500, 0.500).


Record 4
A plane-wave DFT calculation with GGA-PBE was carried out for a relaxed structure of Y2GaAgH.

Its final energy is -4.84 eV per atom.

It has space group P4/mmm (No. 123), with a = 4.854 Å, b = 4.854 Å, c = 4.049 Å, α = 90.00°, β = 90.00° and γ = 90.00°. Symmetry generates all atoms from Y at (0.000, 0.500, 0.000), Ga at (0.000, 0.000, 0.500), Ag at (0.500, 0.500, 0.500) and H at (0.500, 0.500, 0.000).


Q: Look up the final energy of the third one.
A: -3.62 eV per atom